(P)
This record from Alexandria via LeMat-Bulk describes a relaxed structure of Th2Ge3Ru. The functional is PBE-GGA.

Cell: 5.985 5.985 8.449 Å, 110.02 110.02 91.92°
Element x y z (fractional)
Ge: 0.667 0.164 0.830
Th: 0.741 0.741 0.000
Th: 0.250 0.750 0.500
Ge: 0.164 0.667 0.830
Ge: 0.171 0.171 0.341
Th: 0.259 0.259 0.000
Th: 0.750 0.250 0.500
Ge: 0.829 0.829 0.659
Ru: 0.664 0.664 0.327
Ru: 0.336 0.336 0.673
Ge: 0.836 0.333 0.170
Ge: 0.333 0.836 0.170

Results
N(E_F) = 0.571 states/eV/atom
SG = No. 69



(Q)
This record from Alexandria via LeMat-Bulk describes a relaxed structure of Th2Ge3Ru. The functional is PBE-GGA.

Cell: 4.020 4.477 7.321 Å, 90.00 90.00 90.00°
Element x y z (fractional)
Ge: 0.500 0.000 0.172
Th: 0.000 0.000 0.491
Ru: 0.500 0.500 0.326
Ge: 0.500 0.000 0.829
Th: 0.000 0.500 0.017
Ge: 0.500 0.500 0.663

Results
N(E_F) = 0.499 states/eV/atom
SG = No. 25



Verdict on stability: (P) comes out on top.



(P)
This record from Alexandria via LeMat-Bulk describes a relaxed structure of Th3Ge3Ru2. The functional is PBE-GGA.

Cell: 5.768 8.063 15.070 Å, 90.00 90.00 90.00°
Element x y z (fractional)
Th: 0.621 0.035 0.610
Ru: 0.624 0.594 0.109
Ge: 0.619 0.323 0.750
Th: 0.379 0.965 0.390
Th: 0.870 0.821 0.250
Ru: 0.876 0.094 0.391
Ru: 0.624 0.594 0.391
Th: 0.879 0.535 0.610
Ge: 0.385 0.689 0.963
Ru: 0.376 0.406 0.891
Ge: 0.115 0.189 0.963
Th: 0.121 0.465 0.110
Th: 0.630 0.321 0.250
Ge: 0.885 0.811 0.037
Ge: 0.119 0.177 0.250
Th: 0.121 0.465 0.390
Th: 0.879 0.535 0.890
Th: 0.621 0.035 0.890
Ge: 0.381 0.677 0.250
Ge: 0.881 0.823 0.750
Th: 0.130 0.179 0.750
Ge: 0.385 0.689 0.537
Ge: 0.885 0.811 0.463
Ru: 0.876 0.094 0.109
Th: 0.379 0.965 0.110
Ru: 0.124 0.906 0.891
Ru: 0.124 0.906 0.609
Ge: 0.615 0.311 0.463
Ge: 0.115 0.189 0.537
Ru: 0.376 0.406 0.609
Ge: 0.615 0.311 0.037
Th: 0.370 0.679 0.750

Results
N(E_F) = 0.825 states/eV/atom
SG = No. 62



(Q)
This record from Alexandria via LeMat-Bulk describes a relaxed structure of Th3Ge3Ru2. The functional is PBE-GGA.

Cell: 4.239 5.913 15.398 Å, 90.00 90.00 111.00°
Element x y z (fractional)
Ge: 0.589 0.177 0.450
Th: 0.137 0.273 0.593
Ge: 0.411 0.823 0.950
Ru: 0.150 0.300 0.126
Ge: 0.411 0.823 0.550
Th: 0.594 0.188 0.250
Th: 0.406 0.812 0.750
Th: 0.863 0.727 0.407
Ru: 0.850 0.700 0.874
Ge: 0.589 0.177 0.050
Ru: 0.850 0.700 0.626
Ge: 0.688 0.375 0.750
Th: 0.137 0.273 0.907
Th: 0.863 0.727 0.093
Ru: 0.150 0.300 0.374
Ge: 0.312 0.625 0.250

Results
N(E_F) = 0.522 states/eV/atom
SG = No. 63



Verdict on stability: (Q) comes out on top.



(P)
This record from Alexandria via LeMat-Bulk describes a relaxed structure of TiGe2Ru. The functional is PBE-GGA.

Cell: 4.413 4.413 4.413 Å, 60.00 60.00 60.00°
Element x y z (fractional)
Ru: 0.500 0.500 0.500
Ti: 0.000 0.000 0.000
Ge: 0.250 0.250 0.250
Ge: 0.750 0.750 0.750

Results
N(E_F) = 1.400 states/eV/atom
SG = No. 225



(Q)
This record from Alexandria via LeMat-Bulk describes a relaxed structure of TiGe2Ru. The functional is PBE-GGA.

Cell: 4.114 4.114 4.869 Å, 65.01 65.01 60.00°
Element x y z (fractional)
Ru: 0.500 0.500 0.500
Ge: 0.236 0.236 0.291
Ge: 0.764 0.764 0.709
Ti: 0.000 0.000 0.000

Results
N(E_F) = 0.688 states/eV/atom
SG = No. 166



Verdict on stability: (Q) comes out on top.



(P)
This record from Alexandria via LeMat-Bulk describes a relaxed structure of TlGeRu2. The functional is PBE-GGA.

Cell: 4.499 4.499 4.499 Å, 60.00 60.00 60.00°
Element x y z (fractional)
Tl: 0.500 0.500 0.500
Ru: 0.750 0.750 0.750
Ru: 0.250 0.250 0.250
Ge: 0.000 0.000 0.000

Results
N(E_F) = 0.616 states/eV/atom
SG = No. 225



(Q)
This record from Alexandria via LeMat-Bulk describes a relaxed structure of TlGeRu2. The functional is PBE-GGA.

Cell: 5.800 5.800 7.115 Å, 65.95 65.95 90.00°
Element x y z (fractional)
Tl: 0.750 0.250 0.500
Ru: 0.576 0.125 0.250
Ru: 0.375 0.424 0.750
Ru: 0.174 0.625 0.250
Ge: 0.500 0.500 0.000
Ru: 0.875 0.826 0.750
Tl: 0.000 0.000 0.000
Ge: 0.250 0.750 0.500

Results
N(E_F) = 1.035 states/eV/atom
SG = No. 122



Verdict on stability: (P) comes out on top.



(P)
This record from Alexandria via LeMat-Bulk describes a relaxed structure of TlGeRu3. The functional is PBE-GGA.

Cell: 4.566 4.566 4.566 Å, 90.00 90.00 90.00°
Element x y z (fractional)
Ge: 0.000 0.000 0.000
Ru: 0.000 0.000 0.500
Tl: 0.500 0.500 0.500
Ru: 0.500 0.000 0.000
Ru: 0.000 0.500 0.000

Results
N(E_F) = 1.272 states/eV/atom
SG = No. 221



(Q)
This record from Alexandria via LeMat-Bulk describes a relaxed structure of TlGeRu3. The functional is PBE-GGA.

Cell: 5.002 5.002 5.002 Å, 90.00 90.00 90.00°
Element x y z (fractional)
Ru: 0.500 0.000 0.000
Ru: 0.000 0.500 0.000
Ru: 0.000 0.000 0.500
Ge: 0.500 0.500 0.500
Tl: 0.000 0.000 0.000

Results
N(E_F) = 1.149 states/eV/atom
SG = No. 221



Verdict on stability: (P) comes out on top.



(P)
This record from Alexandria via LeMat-Bulk describes a relaxed structure of Tl3GeRu. The functional is PBE-GGA.

Cell: 5.283 5.283 5.283 Å, 90.00 90.00 90.00°
Element x y z (fractional)
Ge: 0.500 0.500 0.500
Tl: 0.000 0.500 0.000
Tl: 0.000 0.000 0.500
Tl: 0.500 0.000 0.000
Ru: 0.000 0.000 0.000

Results
N(E_F) = 0.718 states/eV/atom
SG = No. 221



(Q)
This record from Alexandria via LeMat-Bulk describes a relaxed structure of Tl3GeRu. The functional is PBE-GGA.

Cell: 5.399 5.399 5.399 Å, 90.00 90.00 90.00°
Element x y z (fractional)
Ru: 0.500 0.500 0.500
Tl: 0.000 0.500 0.000
Ge: 0.000 0.000 0.000
Tl: 0.500 0.000 0.000
Tl: 0.000 0.000 0.500

Results
N(E_F) = 1.367 states/eV/atom
SG = No. 221



Verdict on stability: (P) comes out on top.



(P)
This record from Alexandria via LeMat-Bulk describes a relaxed structure of Tm2GeRu2. The functional is PBE-GGA.

Cell: 5.408 5.653 7.604 Å, 102.48 90.00 118.58°
Element x y z (fractional)
Ge: 0.881 0.000 0.250
Ge: 0.119 0.000 0.750
Tm: 0.794 0.286 0.645
Ru: 0.291 0.276 0.512
Ru: 0.709 0.724 0.488
Ru: 0.986 0.276 0.012
Ru: 0.014 0.724 0.988
Tm: 0.206 0.714 0.355
Tm: 0.508 0.714 0.855
Tm: 0.492 0.286 0.145

Results
N(E_F) = 0.385 states/eV/atom
SG = No. 15



(Q)
This record from Alexandria via LeMat-Bulk describes a relaxed structure of Tm2GeRu2. The functional is PBE-GGA.

Cell: 3.979 5.786 5.513 Å, 121.65 111.15 90.00°
Element x y z (fractional)
Tm: 0.794 0.294 0.587
Ge: 0.000 0.000 0.000
Ru: 0.500 0.272 0.000
Ru: 0.500 0.728 0.000
Tm: 0.206 0.706 0.413

Results
N(E_F) = 0.810 states/eV/atom
SG = No. 71



Verdict on stability: (P) comes out on top.



(P)
This record from Alexandria via LeMat-Bulk describes a relaxed structure of YTmGeRu. The functional is PBE-GGA.

Cell: 4.215 3.823 5.835 Å, 90.00 111.17 90.00°
Element x y z (fractional)
Tm: 0.134 0.000 0.268
Ru: 0.584 0.500 0.169
Ge: 0.430 0.000 0.860
Y: 0.852 0.500 0.704

Results
N(E_F) = 0.498 states/eV/atom
SG = No. 38



(Q)
This record from Alexandria via LeMat-Bulk describes a relaxed structure of YTmGeRu. The functional is PBE-GGA.

Cell: 4.900 4.900 4.900 Å, 60.00 60.00 60.00°
Element x y z (fractional)
Y: 0.000 0.000 0.000
Ru: 0.750 0.750 0.750
Tm: 0.500 0.500 0.500
Ge: 0.250 0.250 0.250

Results
N(E_F) = 0.552 states/eV/atom
SG = No. 216



Verdict on stability: (P) comes out on top.